[1]
This record from the Alexandria database describes crystalline TlPtSeN2 at its relaxed geometry. The functional is PBE-GGA.

Cell lengths 4.142, 4.142, 6.014 Å; angles 90.00, 90.00, 90.00 degrees
Space group P4/mmm (No. 123)
Symmetry-distinct sites (fractional):
Tl  0.000  0.000  0.000
Pt  0.500  0.500  0.500
Se  0.000  0.000  0.500
N  0.000  0.500  0.000

The density of states at the Fermi level is 3.01 states/eV/f.u. Its polymorph energy (0 for the lowest one) is 1074 meV per atom. The calculation puts the uncorrected formation energy at 2.090 eV per atom. The calculation puts the total energy at -3.62 eV/atom.


[2]
This record from the Alexandria database describes crystalline Pm12Tl5Si2 at its relaxed geometry. The functional is PBE-GGA.

Cell lengths 17.026, 8.323, 9.042 Å; angles 90.00, 107.34, 90.00 degrees
Space group C2/m (No. 12)
Symmetry-distinct sites (fractional):
Pm  0.019  0.000  0.304
Pm  0.083  0.500  0.354
Pm  0.123  0.205  0.067
Pm  0.171  0.235  0.681
Tl  0.000  0.500  0.000
Tl  0.213  0.000  0.417
Tl  0.226  0.500  0.006
Si  0.000  0.268  0.500

The density of states at the Fermi level is 18.20 states/eV/f.u. The calculation puts the uncorrected formation energy at -0.206 eV per atom. The calculation puts the total energy at -4.40 eV/atom.


[3]
This record from the Alexandria database describes crystalline BeCrSe2 at its relaxed geometry. The functional is PBE-GGA.

Cell lengths 3.5649, 3.5649, 21.8110 Å; angles 90.00, 90.00, 120.00 degrees
Space group R3m (No. 160, hexagonal axes)
Symmetry-distinct sites (fractional):
Be  0.0000  0.0000  0.0000
Cr  0.0000  0.0000  0.2481
Se  0.0000  0.0000  0.5226
Se  0.0000  0.0000  0.6962

The density of states at the Fermi level is 0.88 states/eV/f.u. The calculation puts the uncorrected formation energy at -0.280 eV per atom. The calculation puts the total energy at -5.36 eV/atom.


[4]
This record from the Alexandria database describes crystalline CoSb8Ir2 at its relaxed geometry. The functional is PBE-GGA.

Cell lengths 5.235, 7.570, 7.679 Å; angles 69.75, 89.17, 89.43 degrees
Space group P-1 (No. 2)
Symmetry-distinct sites (fractional):
Co  0.000  0.000  0.000
Sb  0.254  0.389  0.431
Sb  0.287  0.884  0.283
Sb  0.291  0.287  0.874
Sb  0.291  0.835  0.835
Ir  0.236  0.635  0.625

The density of states at the Fermi level is 7.38 states/eV/f.u. The calculation puts the uncorrected formation energy at 0.005 eV per atom. The calculation puts the total energy at -5.25 eV/atom.


[5]
This record from the Alexandria database describes crystalline SmPuTlRh at its relaxed geometry. The functional is PBE-GGA.

Cell lengths 7.330, 7.330, 7.330 Å; angles 90.00, 90.00, 90.00 degrees
Space group F-43m (No. 216)
Symmetry-distinct sites (fractional):
Sm  0.000  0.000  0.000
Pu  0.000  0.000  0.500
Tl  0.250  0.250  0.250
Rh  0.250  0.250  0.750

The density of states at the Fermi level is 9.94 states/eV/f.u. Its polymorph energy (0 for the lowest one) is 161 meV per atom. For the formation energy, the calculation gives -211 meV per atom. The calculation puts the total energy at -7.40 eV/atom.


[6]
This record from the Alexandria database describes crystalline K2SmCuCl6 at its relaxed geometry. The functional is PBE-GGA.

Cell lengths 10.445, 10.445, 10.445 Å; angles 90.00, 90.00, 90.00 degrees
Space group Fm-3m (No. 225)
Symmetry-distinct sites (fractional):
K  0.250  0.250  0.250
Sm  0.000  0.000  0.000
Cu  0.000  0.000  0.500
Cl  0.000  0.000  0.257

The density of states at the Fermi level is 0.00 states/eV/f.u. Its polymorph energy (0 for the lowest one) is 43 meV per atom. The calculation puts the uncorrected formation energy at -1.727 eV per atom. The calculation puts the total energy at -3.94 eV/atom.